# 1
# LiTmAl2, optimized geometry, DFT PBE-GGA
# DOS(E_F) (states/eV per cell): 1.13
# ΔE to the lowest computed polymorph (eV/atom): 0.009
# Uncorrected energy (eV/atom): -3.718
# E_form (eV per atom): -0.251
data_LiTmAl2
_symmetry_space_group_name_H-M 'P 1'
_symmetry_Int_Tables_number 1
_cell_length_a 4.073
_cell_length_b 4.412
_cell_length_c 4.412
_cell_angle_alpha 90.00
_cell_angle_beta 90.00
_cell_angle_gamma 90.00
loop_
_symmetry_equiv_pos_as_xyz
'x,y,z'
loop_
_atom_site_label
_atom_site_type_symbol
_atom_site_fract_x
_atom_site_fract_y
_atom_site_fract_z
Tm1 Tm 0.500 0.000 0.000
Al1 Al 0.000 0.000 0.500
Al2 Al 0.000 0.500 0.000
Li1 Li 0.500 0.500 0.500

=====

# 2
# AlPtW2, optimized geometry, DFT PBE-GGA
# DOS(E_F) (states/eV per cell): 2.31
# Uncorrected energy (eV/atom): -8.998
# E_form (eV per atom): -0.076
data_AlPtW2
_symmetry_space_group_name_H-M 'P 1'
_symmetry_Int_Tables_number 1
_cell_length_a 4.825
_cell_length_b 4.825
_cell_length_c 4.825
_cell_angle_alpha 131.04
_cell_angle_beta 131.04
_cell_angle_gamma 71.75
loop_
_symmetry_equiv_pos_as_xyz
'x,y,z'
loop_
_atom_site_label
_atom_site_type_symbol
_atom_site_fract_x
_atom_site_fract_y
_atom_site_fract_z
W1 W 0.000 0.000 0.000
W2 W 0.250 0.750 0.500
Pt1 Pt 0.750 0.250 0.500
Al1 Al 0.500 0.500 0.000

=====

# 3
# La2AlNiPb, optimized geometry, DFT PBE-GGA
# DOS(E_F) (states/eV per cell): 3.15
# Uncorrected energy (eV/atom): -5.075
# E_form (eV per atom): -0.457
data_La2AlNiPb
_symmetry_space_group_name_H-M 'P 1'
_symmetry_Int_Tables_number 1
_cell_length_a 5.398
_cell_length_b 5.398
_cell_length_c 4.692
_cell_angle_alpha 90.00
_cell_angle_beta 90.00
_cell_angle_gamma 90.00
loop_
_symmetry_equiv_pos_as_xyz
'x,y,z'
loop_
_atom_site_label
_atom_site_type_symbol
_atom_site_fract_x
_atom_site_fract_y
_atom_site_fract_z
Pb1 Pb 0.500 0.500 0.500
Ni1 Ni 0.000 0.000 0.000
Al1 Al 0.000 0.000 0.500
La1 La 0.000 0.500 0.000
La2 La 0.500 0.000 0.000

=====

# 4
# RbCaZnI5, optimized geometry, DFT PBE-GGA
# DOS(E_F) (states/eV per cell): 0.00
# Formation energy (no corrections) (eV per atom): -1.19
# Uncorrected energy (eV/atom): -2.687
data_RbCaZnI5
_symmetry_space_group_name_H-M 'P 1'
_symmetry_Int_Tables_number 1
_cell_length_a 8.590
_cell_length_b 8.590
_cell_length_c 11.279
_cell_angle_alpha 104.75
_cell_angle_beta 104.75
_cell_angle_gamma 104.97
loop_
_symmetry_equiv_pos_as_xyz
'x,y,z'
loop_
_atom_site_label
_atom_site_type_symbol
_atom_site_fract_x
_atom_site_fract_y
_atom_site_fract_z
Rb1 Rb 0.350 0.650 0.250
Rb2 Rb 0.650 0.350 0.750
Ca1 Ca 0.000 0.000 0.500
Ca2 Ca 0.000 0.000 0.000
Zn1 Zn 0.685 0.315 0.250
Zn2 Zn 0.315 0.685 0.750
I1 I 0.084 0.916 0.250
I2 I 0.916 0.084 0.750
I3 I 0.906 0.329 0.123
I4 I 0.094 0.671 0.877
I5 I 0.671 0.094 0.377
I6 I 0.329 0.906 0.623
I7 I 0.753 0.612 0.436
I8 I 0.247 0.388 0.564
I9 I 0.388 0.247 0.064
I10 I 0.612 0.753 0.936